Er4TmSn: optimized geometry, PBE.

Lattice parameters (Å, degrees): 5.137 5.143 7.627 89.97 89.98 90.00
Positions (direct):
Tm 0.001 0.997 0.498
Er 0.501 0.997 0.751
Er 0.001 0.497 0.246
Er 0.501 0.997 0.245
Er 0.001 0.497 0.750
Sn 0.501 0.497 0.998

final energy = -4.2129 eV per atom
D(E_F) = 6.87 states/eV/f.u.
energy of formation from the pure elements = 0.241 eV per atom